[1]
Material: Tb3CeIr4
Method: DFT, GGA-PBE
State: relaxed

```
Tb3CeIr4
1.0
3.5219 0.0000 0.0000
0.0000 4.8697 0.0000
0.0000 0.0000 9.6646
Tb Ce Ir
3 1 4
Direct
0.0000 0.0000 0.0000
0.0000 0.5000 0.2462
0.0000 0.5000 0.7538
0.0000 0.0000 0.5000
0.5000 0.0000 0.2567
0.5000 0.0000 0.7433
0.5000 0.5000 0.0000
0.5000 0.5000 0.5000
```

## Properties
Total DFT energy (no corrections) = -61.29 eV/cell
Formation energy from the elements = -753 meV per atom

=====

[2]
Material: Ca2PIr
Method: DFT, GGA-PBE
State: relaxed

```
Ca2PIr
1.0
3.4211 0.0000 0.0000
0.0000 3.8632 0.0000
0.0000 0.0000 6.0482
Ca P Ir
2 1 1
Direct
0.0000 0.0000 0.2455
0.0000 0.0000 0.7545
0.5000 0.5000 0.0000
0.5000 0.5000 0.5000
```

## Properties
Total DFT energy (no corrections) = -20.05 eV/cell
Formation energy from the elements = -443 meV per atom

=====

[3]
Material: LaBeP2F
Method: DFT, GGA-PBE
State: relaxed

```
LaBeP2F
1.0
5.5625 0.0000 0.0000
0.0000 5.5625 0.0000
0.0000 0.0000 2.9679
La Be P F
1 1 2 1
Direct
0.0000 0.0000 0.0000
0.5000 0.5000 0.0000
0.0000 0.5000 0.5000
0.5000 0.0000 0.5000
0.5000 0.5000 0.5000
```

## Properties
E_form (uncorrected) = -0.68 eV per atom
Total DFT energy (no corrections) = -24.76 eV/cell

=====

[4]
Material: Fe2MoAu
Method: DFT, GGA-PBE
State: relaxed

```
Fe2MoAu
1.0
2.9958 0.0000 0.0000
0.0000 3.3453 0.0000
0.0000 0.0000 5.6627
Fe Mo Au
2 1 1
Direct
0.0000 0.0000 0.2225
0.0000 0.0000 0.7775
0.5000 0.5000 0.0000
0.5000 0.5000 0.5000
```

## Properties
Total DFT energy (no corrections) = -30.12 eV/cell
Formation energy from the elements = 228 meV per atom